Entry 1:
# Cs4LaU3Se8

An optimized crystal structure of Cs4LaU3Se8 (GGA-PBE, Alexandria).

E, eV per atom: -5.72
V, Å³ per atom: 34.3

Lattice parameters (Å, degrees): 8.6775 8.6775 25.2750 90.00 90.00 120.00
Space group R-3m (No. 166, hexagonal axes)
Symmetry-distinct sites (fractional):
Cs (0.0000, 0.0000, 0.0000) (multiplicity 3)
Cs (0.0000, 0.5000, 0.0000) (multiplicity 9)
La (0.0000, 0.0000, 0.5000) (multiplicity 3)
U (0.0000, 0.5000, 0.5000) (multiplicity 9)
Se (0.0000, 0.0000, 0.2284) (multiplicity 6)
Se (0.0093, 0.5047, 0.7702) (multiplicity 18)



Entry 2:
# Cs3LaU2Se6

An optimized crystal structure of Cs3LaU2Se6 (GGA-PBE, Alexandria).

E, eV per atom: -5.64
V, Å³ per atom: 34.6

Lattice parameters (Å, degrees): 7.546 13.071 8.785 90.00 106.64 90.00
Space group C2/m (No. 12)
Symmetry-distinct sites (fractional):
Cs (0.000, 0.000, 0.000) (multiplicity 2)
Cs (0.000, 0.336, 0.000) (multiplicity 4)
La (0.000, 0.500, 0.500) (multiplicity 2)
U (0.000, 0.167, 0.500) (multiplicity 4)
Se (0.218, 0.000, 0.688) (multiplicity 4)
Se (0.235, 0.328, 0.689) (multiplicity 8)



Entry 3:
# Cs3La3USe8

An optimized crystal structure of Cs3La3USe8 (GGA-PBE, Alexandria).

E, eV per atom: -5.45
V, Å³ per atom: 38.4

Lattice parameters (Å, degrees): 8.8385 8.8385 25.5213 90.00 90.00 120.00
Space group R-3m (No. 166, hexagonal axes)
Symmetry-distinct sites (fractional):
Cs (0.0000, 0.5000, 0.0000) (multiplicity 9)
La (0.0000, 0.5000, 0.5000) (multiplicity 9)
U (0.0000, 0.0000, 0.5000) (multiplicity 3)
Se (0.0000, 0.0000, 0.2301) (multiplicity 6)
Se (0.0169, 0.5084, 0.2271) (multiplicity 18)



Entry 4:
# Cs2LaUSe4

An optimized crystal structure of Cs2LaUSe4 (GGA-PBE, Alexandria).

E, eV per atom: -5.47
V, Å³ per atom: 35.3

Lattice parameters (Å, degrees): 7.640 4.400 8.777 90.00 106.85 90.00
Space group P2/m (No. 10)
Symmetry-distinct sites (fractional):
Cs (0.000, 0.000, 0.000) (multiplicity 1)
Cs (0.500, 0.500, 0.000) (multiplicity 1)
La (0.000, 0.500, 0.500) (multiplicity 1)
U (0.500, 0.000, 0.500) (multiplicity 1)
Se (0.239, 0.000, 0.691) (multiplicity 2)
Se (0.280, 0.500, 0.313) (multiplicity 2)



In the order shown, the computed uncorrected formation energy values come out to -1340.3; -1392.2; -1687.5; -1488.2 meV/atom.
In the order shown, the computed density values come out to 6.09; 5.95; 4.86; 5.64 g/cm³.